Entry P
The following is a GGA-PBE calculation of BaCd2Tc after structural relaxation, from the Alexandria database.

a b c (Å): 6.236 9.397 3.319
angles (deg): 90.00 90.13 90.00
Space group C2/m (No. 12)
Asymmetric unit:
Ba  0.000  0.000  0.000
Cd  0.250  0.250  0.500
Tc  0.000  0.500  0.000

Entry Q
The following is a GGA-PBE calculation of BaCd2Tc after structural relaxation, from the Alexandria database.

a b c (Å): 9.594 3.398 6.850
angles (deg): 90.00 99.89 90.00
Space group Cm (No. 8)
Asymmetric unit:
Ba  0.000  0.000  0.000
Cd  0.013  0.500  0.553
Cd  0.265  0.500  0.354
Tc  0.250  0.000  0.686

Best to worst by energy: entry Q, entry P.

Entry P
The following is a GGA-PBE calculation of BaCd2Tc after structural relaxation, from the Alexandria database.

a b c (Å): 4.682 4.682 9.269
angles (deg): 90.00 90.00 90.00
Space group I-4m2 (No. 119)
Asymmetric unit:
Ba  0.000  0.000  0.000
Cd  0.000  0.000  0.500
Cd  0.000  0.500  0.750
Tc  0.000  0.500  0.250

Entry Q
The following is a GGA-PBE calculation of BaCd2Tc after structural relaxation, from the Alexandria database.

a b c (Å): 5.208 5.208 19.346
angles (deg): 90.00 90.00 90.00
Space group I-42d (No. 122)
Asymmetric unit:
Ba  0.000  0.000  0.000
Cd  0.082  0.250  0.625
Tc  0.000  0.000  0.500

Entry R
The following is a GGA-PBE calculation of BaCd2Tc after structural relaxation, from the Alexandria database.

a b c (Å): 3.2354 3.2354 31.6949
angles (deg): 90.00 90.00 120.00
Space group R-3m (No. 166, hexagonal axes)
Asymmetric unit:
Ba  0.0000  0.0000  0.0000
Cd  0.0000  0.0000  0.2361
Tc  0.0000  0.0000  0.5000

Best to worst by energy: entry Q, entry R, entry P.

Entry P
The following is a GGA-PBE calculation of Ba2Cd2Tc after structural relaxation, from the Alexandria database.

a b c (Å): 8.566 8.566 4.965
angles (deg): 90.00 90.00 90.00
Space group P4/mbm (No. 127)
Asymmetric unit:
Ba  0.167  0.333  0.000
Cd  0.136  0.636  0.500
Tc  0.000  0.000  0.000

Entry Q
The following is a GGA-PBE calculation of Ba2Cd2Tc after structural relaxation, from the Alexandria database.

a b c (Å): 4.002 4.002 21.152
angles (deg): 90.00 90.00 90.00
Space group I4/mmm (No. 139)
Asymmetric unit:
Ba  0.000  0.000  0.092
Cd  0.000  0.500  0.250
Tc  0.000  0.000  0.500

Best to worst by energy: entry Q, entry P.

Entry P
The following is a GGA-PBE calculation of BaCd3Tc after structural relaxation, from the Alexandria database.

a b c (Å): 5.306 5.306 5.306
angles (deg): 90.00 90.00 90.00
Space group Pm-3m (No. 221)
Asymmetric unit:
Ba  0.000  0.000  0.000
Cd  0.000  0.500  0.500
Tc  0.500  0.500  0.500

Entry Q
The following is a GGA-PBE calculation of BaCd3Tc after structural relaxation, from the Alexandria database.

a b c (Å): 6.324 6.324 6.324
angles (deg): 90.00 90.00 90.00
Space group Pm-3m (No. 221)
Asymmetric unit:
Ba  0.000  0.000  0.000
Cd  0.000  0.000  0.500
Tc  0.500  0.500  0.500

Best to worst by energy: entry P, entry Q.